A relaxed ZrMo2C crystal, computed with PBE-GGA.

## Properties
E ... -9.91 eV/atom
Density ... 8.21 Mg/m³

Cell lengths 7.3617, 7.3617, 7.3617 Å; angles 24.37, 24.37, 24.37 degrees
Last column: nearest neighbours and their distance in Å.
Fractional coordinates of all 4 atoms:
C (0.7438, 0.7438, 0.7438)  3 Mo 2.14, 3 Zr 2.30
Mo (0.2556, 0.2556, 0.2556)  9 Mo 2.80-3.11, 3 Zr 2.98
Mo (0.0229, 0.0229, 0.0229)  3 C 2.14
Zr (0.4777, 0.4777, 0.4777)  3 C 2.30